# Na2YTe2 | Alexandria | PBE | relaxed
data_Na2YTe2
_space_group_name_H-M_alt 'P 4/m b m'
_space_group_IT_number 127
_space_group_name_Hall '-P 4 2ab'
_cell_length_a 8.321
_cell_length_b 8.321
_cell_length_c 4.449
_cell_angle_alpha 90.00
_cell_angle_beta 90.00
_cell_angle_gamma 90.00
loop_
_atom_site_label
_atom_site_fract_x
_atom_site_fract_y
_atom_site_fract_z
Na1 0.136 0.364 0.000
Y1 0.000 0.000 0.500
Te1 0.174 0.674 0.500
# E_form (uncorrected)	-4.4	eV per formula unit
# magnetic moment	1.97	Bohr magnetons per cell
# crystal system	tetragonal

# NaY2Te | Alexandria | PBE | relaxed
data_NaY2Te
_space_group_name_H-M_alt 'I -4 2 d'
_space_group_IT_number 122
_space_group_name_Hall 'I -4 2bw'
_cell_length_a 8.727
_cell_length_b 8.727
_cell_length_c 6.853
_cell_angle_alpha 90.00
_cell_angle_beta 90.00
_cell_angle_gamma 90.00
loop_
_atom_site_label
_atom_site_fract_x
_atom_site_fract_y
_atom_site_fract_z
Na1 0.000 0.000 0.000
Y1 0.218 0.250 0.625
Te1 0.000 0.000 0.500
# E_form (uncorrected)	-0.7	eV per formula unit
# magnetic moment	3.79	Bohr magnetons per cell
# crystal system	tetragonal

# NaY2Te3 | Alexandria | PBE | relaxed
data_NaY2Te3
_space_group_name_H-M_alt 'I m m m'
_space_group_IT_number 71
_space_group_name_Hall '-I 2 2'
_cell_length_a 4.377
_cell_length_b 6.234
_cell_length_c 13.379
_cell_angle_alpha 90.00
_cell_angle_beta 90.00
_cell_angle_gamma 90.00
loop_
_atom_site_label
_atom_site_fract_x
_atom_site_fract_y
_atom_site_fract_z
Na1 0.000 0.000 0.000
Y1 0.000 0.000 0.336
Te1 0.000 0.500 0.000
Te2 0.000 0.500 0.329
# E_form (uncorrected)	-7.9	eV per formula unit
# magnetic moment	0.00	Bohr magnetons per cell
# crystal system	orthorhombic

# NaY2Te4 | Alexandria | PBE | relaxed
data_NaY2Te4
_space_group_name_H-M_alt 'C m c m'
_space_group_IT_number 63
_space_group_name_Hall '-C 2c 2'
_cell_length_a 4.284
_cell_length_b 14.522
_cell_length_c 15.287
_cell_angle_alpha 90.00
_cell_angle_beta 90.00
_cell_angle_gamma 90.00
loop_
_atom_site_label
_atom_site_fract_x
_atom_site_fract_y
_atom_site_fract_z
Na1 0.000 0.114 0.250
Y1 0.000 0.362 0.066
Te1 0.000 0.000 0.000
Te2 0.000 0.275 0.619
Te3 0.000 0.444 0.250
# E_form (uncorrected)	-8.0	eV per formula unit
# magnetic moment	0.00	Bohr magnetons per cell
# crystal system	orthorhombic

# NaY4Te5 | Alexandria | PBE | relaxed
data_NaY4Te5
_space_group_name_H-M_alt 'I m m m'
_space_group_IT_number 71
_space_group_name_Hall '-I 2 2'
_cell_length_a 4.398
_cell_length_b 6.183
_cell_length_c 22.065
_cell_angle_alpha 90.00
_cell_angle_beta 90.00
_cell_angle_gamma 90.00
loop_
_atom_site_label
_atom_site_fract_x
_atom_site_fract_y
_atom_site_fract_z
Na1 0.000 0.000 0.000
Y1 0.000 0.000 0.205
Y2 0.000 0.000 0.399
Te1 0.000 0.500 0.000
Te2 0.000 0.500 0.198
Te3 0.000 0.500 0.396
# E_form (uncorrected)	-13.3	eV per formula unit
# magnetic moment	0.00	Bohr magnetons per cell
# crystal system	orthorhombic

# NaY2Te | Alexandria | PBE | relaxed
data_NaY2Te
_space_group_name_H-M_alt 'R -3 m'
_space_group_IT_number 166
_space_group_name_Hall '-R 3 2"'
_cell_length_a 3.9246
_cell_length_b 3.9246
_cell_length_c 33.2295
_cell_angle_alpha 90.00
_cell_angle_beta 90.00
_cell_angle_gamma 120.00
loop_
_atom_site_label
_atom_site_fract_x
_atom_site_fract_y
_atom_site_fract_z
Na1 0.0000 0.0000 0.0000
Y1 0.0000 0.0000 0.1067
Te1 0.0000 0.0000 0.5000
# E_form (uncorrected)	-1.2	eV per formula unit
# magnetic moment	0.00	Bohr magnetons per cell
# crystal system	trigonal

# NaY5Te8 | Alexandria | PBE | relaxed
data_NaY5Te8
_space_group_name_H-M_alt 'F -4 3 m'
_space_group_IT_number 216
_space_group_name_Hall 'F -4 2 3'
_cell_length_a 12.865
_cell_length_b 12.865
_cell_length_c 12.865
_cell_angle_alpha 90.00
_cell_angle_beta 90.00
_cell_angle_gamma 90.00
loop_
_atom_site_label
_atom_site_fract_x
_atom_site_fract_y
_atom_site_fract_z
Na1 0.000 0.000 0.000
Y1 0.130 0.130 0.370
Y2 0.250 0.250 0.750
Te1 0.116 0.116 0.616
Te2 0.134 0.134 0.134
# E_form (uncorrected)	-18.5	eV per formula unit
# magnetic moment	0.00	Bohr magnetons per cell
# crystal system	cubic

# NaYZnTe3 | Alexandria | PBE | relaxed
data_NaYZnTe3
_space_group_name_H-M_alt 'P 1 21/m 1'
_space_group_IT_number 11
_cell_length_a 9.024
_cell_length_b 4.349
_cell_length_c 10.437
_cell_angle_alpha 90.00
_cell_angle_beta 105.84
_cell_angle_gamma 90.00
loop_
_space_group_symop_operation_xyz
'x,y,z'
'-x,-y,-z'
'-x,y+1/2,-z'
'x,-y+1/2,z'
loop_
_atom_site_label
_atom_site_fract_x
_atom_site_fract_y
_atom_site_fract_z
Na1 0.198 0.250 0.205
Y1 0.326 0.750 0.853
Zn1 0.083 0.250 0.600
Te1 0.082 0.250 0.855
Te2 0.228 0.750 0.534
Te3 0.439 0.750 0.160
# E_form (uncorrected)	-5.9	eV per formula unit
# magnetic moment	0.00	Bohr magnetons per cell
# crystal system	monoclinic

# Na3Y3ZrTe8 | Alexandria | PBE | relaxed
data_Na3Y3ZrTe8
_space_group_name_H-M_alt 'R -3 m'
_space_group_IT_number 166
_space_group_name_Hall '-R 3 2"'
_cell_length_a 8.6998
_cell_length_b 8.6998
_cell_length_c 23.0507
_cell_angle_alpha 90.00
_cell_angle_beta 90.00
_cell_angle_gamma 120.00
loop_
_atom_site_label
_atom_site_fract_x
_atom_site_fract_y
_atom_site_fract_z
Na1 0.0000 0.5000 0.0000
Y1 0.0000 0.5000 0.5000
Zr1 0.0000 0.0000 0.5000
Te1 0.0000 0.0000 0.2445
Te2 0.0124 0.5062 0.2415
# E_form (uncorrected)	-18.3	eV per formula unit
# magnetic moment	0.00	Bohr magnetons per cell
# crystal system	trigonal

# Na3Y2ZrTe6 | Alexandria | PBE | relaxed
data_Na3Y2ZrTe6
_space_group_name_H-M_alt 'C 1 2/m 1'
_space_group_IT_number 12
_cell_length_a 7.486
_cell_length_b 12.968
_cell_length_c 8.038
_cell_angle_alpha 90.00
_cell_angle_beta 108.14
_cell_angle_gamma 90.00
loop_
_space_group_symop_operation_xyz
'x,y,z'
'-x,-y,-z'
'-x,y,-z'
'x,-y,z'
'x+1/2,y+1/2,z'
'-x+1/2,-y+1/2,-z'
'-x+1/2,y+1/2,-z'
'x+1/2,-y+1/2,z'
loop_
_atom_site_label
_atom_site_fract_x
_atom_site_fract_y
_atom_site_fract_z
Na1 0.000 0.000 0.000
Na2 0.000 0.329 0.000
Y1 0.000 0.166 0.500
Zr1 0.000 0.500 0.500
Te1 0.238 0.339 0.730
Te2 0.244 0.500 0.269
# E_form (uncorrected)	-14.0	eV per formula unit
# magnetic moment	1.11	Bohr magnetons per cell
# crystal system	monoclinic

# NaZnTe2 | Alexandria | PBE | relaxed
data_NaZnTe2
_space_group_name_H-M_alt 'R -3 m'
_space_group_IT_number 166
_space_group_name_Hall '-R 3 2"'
_cell_length_a 3.9929
_cell_length_b 3.9929
_cell_length_c 27.4089
_cell_angle_alpha 90.00
_cell_angle_beta 90.00
_cell_angle_gamma 120.00
loop_
_atom_site_label
_atom_site_fract_x
_atom_site_fract_y
_atom_site_fract_z
Na1 0.0000 0.0000 0.0000
Zn1 0.0000 0.0000 0.5000
Te1 0.0000 0.0000 0.1071
# E_form (uncorrected)	-0.9	eV per formula unit
# magnetic moment	0.00	Bohr magnetons per cell
# crystal system	trigonal

# Na3ZnTe2 | Alexandria | PBE | relaxed
data_Na3ZnTe2
_space_group_name_H-M_alt 'I b a m'
_space_group_IT_number 72
_space_group_name_Hall '-I 2 2c'
_cell_length_a 7.472
_cell_length_b 14.516
_cell_length_c 7.512
_cell_angle_alpha 90.00
_cell_angle_beta 90.00
_cell_angle_gamma 90.00
loop_
_atom_site_label
_atom_site_fract_x
_atom_site_fract_y
_atom_site_fract_z
Na1 0.000 0.000 0.250
Na2 0.000 0.268 0.250
Zn1 0.000 0.500 0.000
Te1 0.227 0.131 0.000
# E_form (uncorrected)	-3.3	eV per formula unit
# magnetic moment	1.57	Bohr magnetons per cell
# crystal system	orthorhombic

# NaZn3Te | Alexandria | PBE | relaxed
data_NaZn3Te
_space_group_name_H-M_alt 'P m -3 m'
_space_group_IT_number 221
_space_group_name_Hall '-P 4 2 3'
_cell_length_a 5.466
_cell_length_b 5.466
_cell_length_c 5.466
_cell_angle_alpha 90.00
_cell_angle_beta 90.00
_cell_angle_gamma 90.00
loop_
_atom_site_label
_atom_site_fract_x
_atom_site_fract_y
_atom_site_fract_z
Na1 0.000 0.000 0.000
Zn1 0.000 0.500 0.500
Te1 0.500 0.500 0.500
# E_form (uncorrected)	2.1	eV per formula unit
# magnetic moment	0.00	Bohr magnetons per cell
# energy above the most stable polymorph in this dataset	0.00	eV per formula unit
# crystal system	cubic

# Na5Zn2Te5 | Alexandria | PBE | relaxed
data_Na5Zn2Te5
_space_group_name_H-M_alt 'I 4 m m'
_space_group_IT_number 107
_space_group_name_Hall 'I 4 -2'
_cell_length_a 10.292
_cell_length_b 10.292
_cell_length_c 7.141
_cell_angle_alpha 90.00
_cell_angle_beta 90.00
_cell_angle_gamma 90.00
loop_
_atom_site_label
_atom_site_fract_x
_atom_site_fract_y
_atom_site_fract_z
Na1 0.000 0.000 0.000
Na2 0.202 0.202 0.424
Zn1 0.000 0.500 0.340
Te1 0.000 0.000 0.560
Te2 0.000 0.306 0.091
# E_form (uncorrected)	-8.0	eV per formula unit
# magnetic moment	0.39	Bohr magnetons per cell
# energy above the most stable polymorph in this dataset	0.08	eV per formula unit
# crystal system	tetragonal

# NaZnTe2 | Alexandria | PBE | relaxed
data_NaZnTe2
_space_group_name_H-M_alt 'P 1 2/c 1'
_space_group_IT_number 13
_cell_length_a 6.289
_cell_length_b 7.429
_cell_length_c 11.574
_cell_angle_alpha 90.00
_cell_angle_beta 111.92
_cell_angle_gamma 90.00
loop_
_space_group_symop_operation_xyz
'x,y,z'
'-x,-y,-z'
'-x,y,-z+1/2'
'x,-y,z+1/2'
loop_
_atom_site_label
_atom_site_fract_x
_atom_site_fract_y
_atom_site_fract_z
Na1 0.187 0.184 0.134
Zn1 0.292 0.407 0.890
Te1 0.127 0.249 0.662
Te2 0.360 0.247 0.428
# E_form (uncorrected)	-2.0	eV per formula unit
# magnetic moment	0.00	Bohr magnetons per cell
# crystal system	monoclinic

# Na2Zn2Te3 | Alexandria | PBE | relaxed
data_Na2Zn2Te3
_space_group_name_H-M_alt 'C 1 2/c 1'
_space_group_IT_number 15
_cell_length_a 16.597
_cell_length_b 14.765
_cell_length_c 7.659
_cell_angle_alpha 90.00
_cell_angle_beta 117.07
_cell_angle_gamma 90.00
loop_
_space_group_symop_operation_xyz
'x,y,z'
'-x,-y,-z'
'-x,y,-z+1/2'
'x,-y,z+1/2'
'x+1/2,y+1/2,z'
'-x+1/2,-y+1/2,-z'
'-x+1/2,y+1/2,-z+1/2'
'x+1/2,-y+1/2,z+1/2'
loop_
_atom_site_label
_atom_site_fract_x
_atom_site_fract_y
_atom_site_fract_z
Na1 0.000 0.067 0.250
Na2 0.000 0.220 0.750
Na3 0.115 0.416 0.668
Zn1 0.186 0.232 0.265
Zn2 0.217 0.079 0.799
Te1 0.108 0.381 0.064
Te2 0.134 0.218 0.551
Te3 0.153 0.073 0.070
# E_form (uncorrected)	-4.5	eV per formula unit
# magnetic moment	0.00	Bohr magnetons per cell
# crystal system	monoclinic

# Na2Zn2Te | Alexandria | PBE | relaxed
data_Na2Zn2Te
_space_group_name_H-M_alt 'P 4/m b m'
_space_group_IT_number 127
_space_group_name_Hall '-P 4 2ab'
_cell_length_a 7.382
_cell_length_b 7.382
_cell_length_c 4.639
_cell_angle_alpha 90.00
_cell_angle_beta 90.00
_cell_angle_gamma 90.00
loop_
_atom_site_label
_atom_site_fract_x
_atom_site_fract_y
_atom_site_fract_z
Na1 0.178 0.322 0.000
Zn1 0.118 0.618 0.500
Te1 0.000 0.000 0.500
# E_form (uncorrected)	-1.0	eV per formula unit
# magnetic moment	0.00	Bohr magnetons per cell
# crystal system	tetragonal

# NaZnTe2 | Alexandria | PBE | relaxed
data_NaZnTe2
_space_group_name_H-M_alt 'I -4 2 d'
_space_group_IT_number 122
_space_group_name_Hall 'I -4 2bw'
_cell_length_a 7.913
_cell_length_b 7.913
_cell_length_c 7.145
_cell_angle_alpha 90.00
_cell_angle_beta 90.00
_cell_angle_gamma 90.00
loop_
_atom_site_label
_atom_site_fract_x
_atom_site_fract_y
_atom_site_fract_z
Na1 0.000 0.000 0.000
Zn1 0.000 0.000 0.500
Te1 0.205 0.250 0.625
# E_form (uncorrected)	-1.7	eV per formula unit
# magnetic moment	0.00	Bohr magnetons per cell
# crystal system	tetragonal

# NaZnTe2 | Alexandria | PBE | relaxed
data_NaZnTe2
_space_group_name_H-M_alt 'R -3 m'
_space_group_IT_number 166
_space_group_name_Hall '-R 3 2"'
_cell_length_a 4.8638
_cell_length_b 4.8638
_cell_length_c 23.9458
_cell_angle_alpha 90.00
_cell_angle_beta 90.00
_cell_angle_gamma 120.00
loop_
_atom_site_label
_atom_site_fract_x
_atom_site_fract_y
_atom_site_fract_z
Na1 0.0000 0.0000 0.0000
Zn1 0.0000 0.0000 0.5000
Te1 0.0000 0.0000 0.3971
# E_form (uncorrected)	-0.8	eV per formula unit
# magnetic moment	0.00	Bohr magnetons per cell
# crystal system	trigonal

# NaZnTe3 | Alexandria | PBE | relaxed
data_NaZnTe3
_space_group_name_H-M_alt 'P m -3 m'
_space_group_IT_number 221
_space_group_name_Hall '-P 4 2 3'
_cell_length_a 5.428
_cell_length_b 5.428
_cell_length_c 5.428
_cell_angle_alpha 90.00
_cell_angle_beta 90.00
_cell_angle_gamma 90.00
loop_
_atom_site_label
_atom_site_fract_x
_atom_site_fract_y
_atom_site_fract_z
Na1 0.000 0.000 0.000
Zn1 0.500 0.500 0.500
Te1 0.000 0.500 0.500
# E_form (uncorrected)	0.0	eV per formula unit
# magnetic moment	0.00	Bohr magnetons per cell
# energy above the most stable polymorph in this dataset	0.00	eV per formula unit
# crystal system	cubic

# Na3ZnTe3 | Alexandria | PBE | relaxed
data_Na3ZnTe3
_space_group_name_H-M_alt 'C 1 2/m 1'
_space_group_IT_number 12
_cell_length_a 9.111
_cell_length_b 11.800
_cell_length_c 8.221
_cell_angle_alpha 90.00
_cell_angle_beta 95.56
_cell_angle_gamma 90.00
loop_
_space_group_symop_operation_xyz
'x,y,z'
'-x,-y,-z'
'-x,y,-z'
'x,-y,z'
'x+1/2,y+1/2,z'
'-x+1/2,-y+1/2,-z'
'-x+1/2,y+1/2,-z'
'x+1/2,-y+1/2,z'
loop_
_atom_site_label
_atom_site_fract_x
_atom_site_fract_y
_atom_site_fract_z
Na1 0.000 0.166 0.000
Na2 0.000 0.243 0.500
Na3 0.096 0.500 0.856
Zn1 0.169 0.000 0.626
Te1 0.119 0.000 0.300
Te2 0.184 0.333 0.227
# E_form (uncorrected)	-4.3	eV per formula unit
# magnetic moment	0.00	Bohr magnetons per cell
# crystal system	monoclinic

# Na5Zn2Te5 | Alexandria | PBE | relaxed
data_Na5Zn2Te5
_space_group_name_H-M_alt 'C 1 2/m 1'
_space_group_IT_number 12
_cell_length_a 15.025
_cell_length_b 4.101
_cell_length_c 12.249
_cell_angle_alpha 90.00
_cell_angle_beta 107.63
_cell_angle_gamma 90.00
loop_
_space_group_symop_operation_xyz
'x,y,z'
'-x,-y,-z'
'-x,y,-z'
'x,-y,z'
'x+1/2,y+1/2,z'
'-x+1/2,-y+1/2,-z'
'-x+1/2,y+1/2,-z'
'x+1/2,-y+1/2,z'
loop_
_atom_site_label
_atom_site_fract_x
_atom_site_fract_y
_atom_site_fract_z
Na1 0.000 0.000 0.000
Na2 0.165 0.000 0.560
Na3 0.236 0.500 0.136
Zn1 0.044 0.500 0.296
Te1 0.000 0.500 0.500
Te2 0.108 0.500 0.882
Te3 0.161 0.000 0.298
# E_form (uncorrected)	-8.1	eV per formula unit
# magnetic moment	0.00	Bohr magnetons per cell
# energy above the most stable polymorph in this dataset	0.00	eV per formula unit
# crystal system	monoclinic